Entry 1:
This record from the Alexandria database describes an optimized crystal structure of CdSnAs2. The functional is GGA-PBEsol.

a = 7.3873 Å, b = 7.3873 Å, c = 7.3873 Å
α = 131.21°, β = 131.21°, γ = 71.48°
Sites, in units of the cell vectors:
Cd  0.0000  0.0000  0.0000
Cd  0.7500  0.2500  0.5000
Sn  0.2500  0.7500  0.5000
Sn  0.5000  0.5000  0.0000
As  0.1264  0.6250  0.0014
As  0.3750  0.3764  0.5014
As  0.6236  0.1250  0.9986
As  0.8750  0.8736  0.4986

Values from the calculation:
Energy above the lowest structure with this stoichiometry = 0.000 eV/atom

***

Entry 2:
This record from the Alexandria database describes an optimized crystal structure of Fe3Ir. The functional is GGA-PBEsol.

a = 4.1152 Å, b = 4.1152 Å, c = 2.8858 Å
α = 90.00°, β = 90.00°, γ = 90.00°
Sites, in units of the cell vectors:
Fe  0.0000  0.0000  0.0000
Fe  0.0000  0.5000  0.5000
Fe  0.5000  0.0000  0.5000
Ir  0.5000  0.5000  0.0000

Values from the calculation:
E = -36.6 eV/cell

***

Entry 3:
This record from the Alexandria database describes an optimized crystal structure of LiNbReNi2. The functional is GGA-PBEsol.

a = 4.5640 Å, b = 4.5640 Å, c = 4.6807 Å
α = 90.00°, β = 90.00°, γ = 90.00°
Sites, in units of the cell vectors:
Li  0.0000  0.0000  0.0000
Nb  0.5000  0.5000  0.0000
Re  0.5000  0.5000  0.5000
Ni  0.0000  0.5000  0.5000
Ni  0.5000  0.0000  0.5000

Values from the calculation:
E = -32.5 eV/cell

***

Entry 4:
This record from the Alexandria database describes an optimized crystal structure of Ba4Nd2Cu6O13. The functional is GGA-PBEsol.

a = 12.4066 Å, b = 12.3878 Å, c = 5.4832 Å
α = 77.42°, β = 77.03°, γ = 25.55°
Sites, in units of the cell vectors:
Ba  0.1479  0.6637  0.8521
Ba  0.3363  0.8521  0.6637
Ba  0.6637  0.1479  0.3363
Ba  0.8521  0.3363  0.1479
Nd  0.0000  0.5000  0.0000
Nd  0.5000  0.0000  0.5000
Cu  0.0745  0.5712  0.4288
Cu  0.2401  0.7599  0.2401
Cu  0.4288  0.9255  0.0745
Cu  0.5712  0.0745  0.9255
Cu  0.7599  0.2401  0.7599
Cu  0.9255  0.4288  0.5712
O  0.0000  0.0000  0.0000
O  0.1844  0.1844  0.8156
O  0.1858  0.1858  0.3142
O  0.1946  0.6533  0.3467
O  0.3142  0.3142  0.1858
O  0.3138  0.3138  0.6862
O  0.3467  0.8054  0.1946
O  0.6533  0.1946  0.8054
O  0.6862  0.6862  0.3138
O  0.6858  0.6858  0.8142
O  0.8054  0.3467  0.6533
O  0.8142  0.8142  0.6858
O  0.8156  0.8156  0.1844

Values from the calculation:
E_form (uncorrected) = -1.85 eV per atom

***

| no. | M_tot (μB/f.u.) |
| --- | --- |
| 1 | 0.000 |
| 2 | 8.784 |
| 3 | 0.000 |
| 4 | 0.000 |